(1)
Here is a geometry-optimized Pr6P2CCl3 structure from Alexandria. Energies are from PBE.

a = 18.497 Å, b = 4.031 Å, c = 8.578 Å
α = 90.00°, β = 106.96°, γ = 90.00°
Space group C2/m (No. 12)
One atom of each set of equivalent atoms:
Pr (0.005, 0.000, 0.206) (multiplicity 4)
Pr (0.145, 0.500, 0.088) (multiplicity 4)
Pr (0.173, 0.500, 0.560) (multiplicity 4)
P (0.165, 0.000, 0.328) (multiplicity 4)
C (0.000, 0.500, 0.000) (multiplicity 2)
Cl (0.000, 0.500, 0.500) (multiplicity 2)
Cl (0.166, 0.000, 0.832) (multiplicity 4)

=====

(2)
Here is a geometry-optimized Pr6PC2Cl3 structure from Alexandria. Energies are from PBE.

a = 18.347 Å, b = 3.921 Å, c = 8.537 Å
α = 90.00°, β = 108.93°, γ = 90.00°
Space group C2/m (No. 12)
One atom of each set of equivalent atoms:
Pr (0.022, 0.000, 0.246) (multiplicity 4)
Pr (0.166, 0.500, 0.132) (multiplicity 4)
Pr (0.181, 0.500, 0.554) (multiplicity 4)
P (0.000, 0.500, 0.000) (multiplicity 2)
C (0.169, 0.000, 0.335) (multiplicity 4)
Cl (0.000, 0.500, 0.500) (multiplicity 2)
Cl (0.164, 0.000, 0.829) (multiplicity 4)

=====

(3)
Here is a geometry-optimized P2PtCCl structure from Alexandria. Energies are from PBE.

a = 4.094 Å, b = 4.094 Å, c = 4.131 Å
α = 90.00°, β = 90.00°, γ = 90.00°
Space group P4/mmm (No. 123)
One atom of each set of equivalent atoms:
P (0.000, 0.500, 0.000) (multiplicity 2)
Pt (0.000, 0.000, 0.500) (multiplicity 1)
C (0.500, 0.500, 0.000) (multiplicity 1)
Cl (0.500, 0.500, 0.500) (multiplicity 1)

Summary:
E above lowest polymorph	0	meV/atom

=====

(4)
Here is a geometry-optimized PPtCCl2 structure from Alexandria. Energies are from PBE.

a = 5.028 Å, b = 5.028 Å, c = 4.509 Å
α = 90.00°, β = 90.00°, γ = 90.00°
Space group P4/mmm (No. 123)
One atom of each set of equivalent atoms:
P (0.000, 0.000, 0.000) (multiplicity 1)
Pt (0.000, 0.000, 0.500) (multiplicity 1)
C (0.500, 0.500, 0.000) (multiplicity 1)
Cl (0.000, 0.500, 0.500) (multiplicity 2)

Summary:
E above lowest polymorph	127	meV/atom

=====

(5)
Here is a geometry-optimized P2PtCCl structure from Alexandria. Energies are from PBE.

a = 4.638 Å, b = 4.638 Å, c = 5.000 Å
α = 90.00°, β = 90.00°, γ = 90.00°
Space group P4/mmm (No. 123)
One atom of each set of equivalent atoms:
P (0.000, 0.500, 0.000) (multiplicity 2)
Pt (0.000, 0.000, 0.000) (multiplicity 1)
C (0.500, 0.500, 0.500) (multiplicity 1)
Cl (0.000, 0.000, 0.500) (multiplicity 1)

Summary:
E above lowest polymorph	591	meV/atom

=====

(6)
Here is a geometry-optimized PPtCCl2 structure from Alexandria. Energies are from PBE.

a = 3.914 Å, b = 3.914 Å, c = 5.112 Å
α = 90.00°, β = 90.00°, γ = 90.00°
Space group P4/mmm (No. 123)
One atom of each set of equivalent atoms:
P (0.000, 0.000, 0.000) (multiplicity 1)
Pt (0.500, 0.500, 0.000) (multiplicity 1)
C (0.000, 0.000, 0.500) (multiplicity 1)
Cl (0.000, 0.500, 0.500) (multiplicity 2)

Summary:
E above lowest polymorph	0	meV/atom

=====

(7)
Here is a geometry-optimized RbPCCl2 structure from Alexandria. Energies are from PBE.

a = 6.317 Å, b = 6.317 Å, c = 7.497 Å
α = 90.00°, β = 90.00°, γ = 90.00°
Space group P4/mmm (No. 123)
One atom of each set of equivalent atoms:
Rb (0.000, 0.000, 0.000) (multiplicity 1)
P (0.000, 0.000, 0.500) (multiplicity 1)
C (0.500, 0.500, 0.500) (multiplicity 1)
Cl (0.000, 0.500, 0.000) (multiplicity 2)

Summary:
E above lowest polymorph	1523	meV/atom

=====

(8)
Here is a geometry-optimized RbPCCl2 structure from Alexandria. Energies are from PBE.

a = 5.792 Å, b = 5.792 Å, c = 3.510 Å
α = 90.00°, β = 90.00°, γ = 90.00°
Space group P4/mmm (No. 123)
One atom of each set of equivalent atoms:
Rb (0.000, 0.000, 0.000) (multiplicity 1)
P (0.500, 0.500, 0.000) (multiplicity 1)
C (0.500, 0.500, 0.500) (multiplicity 1)
Cl (0.000, 0.500, 0.500) (multiplicity 2)

Summary:
E above lowest polymorph	0	meV/atom

=====

| no. | total DFT energy (no corrections) (eV/atom) |
| --- | --- |
| 1 | -5.926 |
| 2 | -6.039 |
| 3 | -4.328 |
| 4 | -3.294 |
| 5 | -3.737 |
| 6 | -3.421 |
| 7 | -2.097 |
| 8 | -3.620 |